# 1
# TiCdMoCl2

Crystalline TiCdMoCl2 at its relaxed geometry (PBE, Alexandria via LeMat-Bulk).

Summary:
- Crystal system: tetragonal
- E: -21.53 eV/cell
- Space group: P4/mmm, No. 123

abc: 4.6202 4.6202 6.2601
angles: 90.00 90.00 90.00
Last column: nearest neighbours and their distance in Å.
Fractional positions:
Ti: 0.0000 0.0000 0.0000  4 Cl 2.31
Cd: 0.0000 0.0000 0.5000  2 Ti 3.13, 4 Mo 3.27
Mo: 0.5000 0.5000 0.5000  4 Cd 3.27
Cl: 0.0000 0.5000 0.0000  2 Ti 2.31
Cl: 0.5000 0.0000 0.0000  2 Ti 2.31

***

# 2
# VCd2MoCl

Crystalline VCd2MoCl at its relaxed geometry (PBE, Alexandria via LeMat-Bulk).

Summary:
- Relative energy among the computed polymorphs: 0.0 meV/atom
- Crystal system: tetragonal
- E: -18.15 eV/cell
- Space group: P4/mmm, No. 123

abc: 5.3651 5.3651 4.3061
angles: 90.00 90.00 90.00
Last column: nearest neighbours and their distance in Å.
Fractional positions:
V: 0.0000 0.0000 0.0000  2 Cl 2.15
Cd: 0.0000 0.5000 0.0000  2 V 2.68
Cd: 0.5000 0.0000 0.0000  2 V 2.68
Mo: 0.5000 0.5000 0.5000  8 Cd 3.44, 4 Cl 3.79
Cl: 0.0000 0.0000 0.5000  2 V 2.15